# 1
Rb2CaVO4 after structural relaxation, computed with GGA+U.

Structure (POSCAR):
```
Rb2CaVO4
1.0
0.000 6.346 11.175
2.928 0.000 11.175
2.928 6.346 0.000
Rb Ca V O
4 2 2 8
Direct
0.066 0.066 0.684
0.316 0.316 0.934
0.684 0.684 0.066
0.934 0.934 0.316
0.125 0.125 0.125
0.875 0.875 0.875
0.375 0.375 0.375
0.625 0.625 0.625
0.043 0.637 0.527
0.293 0.527 0.637
0.363 0.957 0.707
0.473 0.707 0.957
0.527 0.293 0.043
0.637 0.043 0.293
0.707 0.473 0.363
0.957 0.363 0.473
```

Summary:
- total magnetic moment (Bohr magnetons per cell) = 2.000
- electronic total energy (eV/atom) = -5.76

# 2
RbCaVO4 after structural relaxation, computed with GGA+U.

Structure (POSCAR):
```
RbCaVO4
1.0
5.897 0.000 0.000
0.000 6.040 0.000
-2.140 0.000 7.286
Rb Ca V O
2 2 2 8
Direct
0.209 0.250 0.432
0.791 0.750 0.568
0.296 0.250 0.957
0.704 0.750 0.043
0.244 0.750 0.158
0.756 0.250 0.842
0.052 0.750 0.941
0.062 0.750 0.303
0.437 0.523 0.181
0.437 0.977 0.181
0.563 0.023 0.819
0.563 0.477 0.819
0.938 0.250 0.697
0.948 0.250 0.059
```

Summary:
- total magnetic moment (Bohr magnetons per cell) = 0.000
- electronic total energy (eV/atom) = -6.66